AlIrPt: optimized geometry, PBEsol.

```
data_AlIrPt
_chemical_formula_sum 'Al1 Ir1 Pt1'
_cell_length_a 2.7994
_cell_length_b 2.7994
_cell_length_c 6.2957
_cell_angle_alpha 90.00
_cell_angle_beta 90.00
_cell_angle_gamma 120.00
_symmetry_space_group_name_H-M 'P 3 m 1'
_symmetry_Int_Tables_number 156
loop_
_symmetry_equiv_pos_as_xyz
'x,y,z'
'-y,x-y,z'
'-x+y,-x,z'
'-y,-x,z'
'-x+y,y,z'
'x,x-y,z'
loop_
_atom_site_label
_atom_site_type_symbol
_atom_site_fract_x
_atom_site_fract_y
_atom_site_fract_z
_atom_site_occupancy
Al1 Al 0.0000 0.0000 0.0000 1
Ir1 Ir 0.3333 0.6667 0.6929 1
Pt1 Pt 0.6667 0.3333 0.3147 1
```

Density of states at the Fermi level (states/eV/f.u.): 0.818
Energy of formation from the pure elements (eV per atom): -0.545